(1)
The following is a DFT calculation (GGA-PBEsol) of an optimized crystal structure of CoIr2Cl.

abc: 2.687 2.759 8.673
angles: 90.00 90.00 119.14
Each line ends with the local moment (μB).
Fractional positions:
Co: 0.500 0.000 0.741  1.56
Ir: 0.000 0.000 0.984  0.09
Ir: 0.500 0.000 0.244  -0.08
Cl: 0.000 0.000 0.530  0.08

Properties
For the energy above the lowest structure with this stoichiometry, the calculation gives 76 meV/atom. The formation energy from raw total energies comes out at 537 meV per atom. The space group is Cmm2. The total moment comes out at 1.67 μB/f.u. The total energy comes out at -0.5006 Ry/atom.

***

(2)
The following is a DFT calculation (GGA-PBEsol) of an optimized crystal structure of Sr2TlTc.

abc: 3.649 5.513 5.513
angles: 92.03 90.00 90.00
Each line ends with the local moment (μB).
Fractional positions:
Tl: 0.500 0.500 0.500  -0.01
Sr: 0.000 0.000 0.500  0.00
Tc: 0.500 0.000 0.000  1.86
Sr: 0.000 0.500 0.000  0.00

Properties
The calculation puts the formation energy at 0.575 eV per atom. The space group is Cmmm. The total moment comes out at 2.07 μB/f.u. The total energy comes out at -0.2807 Ry/atom.

***

(3)
The following is a DFT calculation (GGA-PBEsol) of an optimized crystal structure of Ba3MgNb2O9.

abc: 5.791 5.791 7.109
angles: 90.00 90.00 120.00
Fractional positions:
Ba: 0.333 0.667 0.667
O: 0.830 0.659 0.673
Nb: 0.667 0.333 0.821
O: 0.341 0.170 0.673
Mg: 0.000 0.000 0.500
Nb: 0.333 0.667 0.179
Ba: 0.667 0.333 0.333
O: 0.830 0.170 0.673
O: 0.000 0.500 0.000
O: 0.170 0.830 0.327
Ba: 0.000 0.000 0.000
O: 0.659 0.830 0.327
O: 0.500 0.500 0.000
O: 0.500 0.000 0.000
O: 0.170 0.341 0.327

Properties
The formation energy from raw total energies comes out at -2893 meV per atom. The space group is P-3m1. The total moment comes out at 0.00 μB/f.u. The total energy comes out at -0.5901 Ry/atom.

***

(4)
The following is a DFT calculation (GGA-PBEsol) of an optimized crystal structure of Co.

abc: 2.389 2.389 2.389
angles: 109.47 109.47 109.47
Each line ends with the local moment (μB).
Fractional positions:
Co: 0.000 0.000 0.000  1.70

Properties
For the energy above the lowest structure with this stoichiometry, the calculation gives 120 meV/atom. The calculation puts the formation energy at 0.120 eV per atom. The space group is Im-3m. The total moment comes out at 1.69 μB/f.u. The total energy comes out at -0.5598 Ry/atom.

***

(5)
The following is a DFT calculation (GGA-PBEsol) of an optimized crystal structure of USbPd2.

abc: 4.756 4.756 4.756
angles: 60.00 60.00 60.00
Each line ends with the local moment (μB).
Fractional positions:
Sb: 0.000 0.000 0.000  -0.01
Pd: 0.750 0.750 0.750  -0.05
U: 0.500 0.500 0.500  1.72
Pd: 0.250 0.250 0.250  -0.05

Properties
The formation energy from raw total energies comes out at -351 meV per atom. The space group is Fm-3m. The total moment comes out at 1.71 μB/f.u. The total energy comes out at -0.5519 Ry/atom.

***

(6)
The following is a DFT calculation (GGA-PBEsol) of an optimized crystal structure of BeSiS2N.

abc: 3.278 4.639 4.639
angles: 90.00 90.00 90.00
Fractional positions:
Be: 0.500 0.500 0.500
S: 0.000 0.500 0.000
S: 0.000 0.000 0.500
Si: 0.000 0.000 0.000
N: 0.500 0.000 0.000

Properties
The formation energy from raw total energies comes out at 389 meV per atom. The space group is P4/mmm. The total moment comes out at 0.00 μB/f.u. The total energy comes out at -0.3689 Ry/atom.

***

(7)
The following is a DFT calculation (GGA-PBEsol) of an optimized crystal structure of CoSiSe2.

abc: 3.400 3.439 6.571
angles: 105.17 104.99 90.00
Fractional positions:
Co: 0.000 0.500 0.000
Si: 0.500 0.000 0.000
Se: 0.642 0.642 0.284
Se: 0.358 0.358 0.716

Properties
The formation energy from raw total energies comes out at -218 meV per atom. The space group is Immm. The total moment comes out at 0.00 μB/f.u. The total energy comes out at -0.4053 Ry/atom.

***

(8)
The following is a DFT calculation (GGA-PBEsol) of an optimized crystal structure of Fe2Cu6SnS8.

abc: 5.164 7.490 7.490
angles: 90.00 90.00 90.00
Each line ends with the local moment (μB).
Fractional positions:
S: 0.263 0.732 0.000  0.00
S: 0.737 0.000 0.268  0.00
S: 0.243 0.261 0.500  0.02
Cu: 0.500 0.252 0.252  0.01
Fe: 0.500 0.500 0.500  2.24
Cu: 0.988 0.500 0.000  0.02
Sn: 0.000 0.000 0.000  -0.01
S: 0.757 0.500 0.261  0.02
S: 0.737 0.000 0.732  0.00
Cu: 0.500 0.748 0.252  0.01
S: 0.757 0.500 0.739  0.02
Cu: 0.012 0.000 0.500  0.02
S: 0.243 0.739 0.500  0.02
Cu: 0.500 0.252 0.748  0.01
Cu: 0.500 0.748 0.748  0.01
Fe: 0.000 0.500 0.500  -2.35
S: 0.263 0.268 0.000  0.00

Properties
The formation energy from raw total energies comes out at -368 meV per atom. The space group is P-4m2. The total moment comes out at 0.01 μB/f.u. The total energy comes out at -0.3870 Ry/atom.